# 1
This record from Alexandria describes crystalline Nd3Al9Ru2 at its relaxed geometry. The functional is PBE.

Values from the calculation:
**Symmetry**: Immm, No. 71
**Energy of formation from the pure elements**: -7.6 eV per formula unit
**Crystal system**: orthorhombic
**Magnetic moment**: 0.0 μB per formula unit
**Volume**: 19.341 A^3/atom
**Density of states at the Fermi level**: 0.3569 states/eV/atom

```
data_Nd3Al9Ru2
_chemical_formula_sum 'Nd3 Al9 Ru2'
_symmetry_space_group_name_H-M 'P 1'
_symmetry_Int_Tables_number 1
_cell_length_a 4.3916
_cell_length_b 8.3007
_cell_length_c 8.3007
_cell_angle_alpha 71.14
_cell_angle_beta 74.66
_cell_angle_gamma 74.66
loop_
_symmetry_equiv_pos_as_xyz
'x,y,z'
loop_
_atom_site_label
_atom_site_type_symbol
_atom_site_fract_x
_atom_site_fract_y
_atom_site_fract_z
Nd1 Nd 0.0000 0.0000 0.0000
Nd2 Nd 0.7026 0.2974 0.2974
Nd3 Nd 0.2974 0.7026 0.7026
Al1 Al 0.0000 0.5000 0.5000
Al2 Al 0.6489 0.9933 0.7089
Al3 Al 0.3511 0.0067 0.2911
Al4 Al 0.6489 0.7089 0.9933
Al5 Al 0.3511 0.2911 0.0067
Al6 Al 0.8769 0.8400 0.4061
Al7 Al 0.1231 0.1600 0.5939
Al8 Al 0.8769 0.4061 0.8400
Al9 Al 0.1231 0.5939 0.1600
Ru1 Ru 0.5000 0.3253 0.6747
Ru2 Ru 0.5000 0.6747 0.3253
```



# 2
This record from Alexandria describes crystalline LiAl2InS4 at its relaxed geometry. The functional is PBE.

Values from the calculation:
**Symmetry**: Fmm2, No. 42
**Calculated total energy**: -35.7 eV/cell
**Crystal system**: orthorhombic
**Magnetic moment**: 0.0 μB per formula unit
**Volume**: 23.800 A^3/atom

```
data_LiAl2InS4
_chemical_formula_sum 'Li1 Al2 In1 S4'
_symmetry_space_group_name_H-M 'P 1'
_symmetry_Int_Tables_number 1
_cell_length_a 5.3124
_cell_length_b 5.3124
_cell_length_c 7.7221
_cell_angle_alpha 110.12
_cell_angle_beta 110.12
_cell_angle_gamma 90.01
loop_
_symmetry_equiv_pos_as_xyz
'x,y,z'
loop_
_atom_site_label
_atom_site_type_symbol
_atom_site_fract_x
_atom_site_fract_y
_atom_site_fract_z
Li1 Li 0.4996 0.4996 0.9992
Al1 Al 0.7501 0.2501 0.5001
Al2 Al 0.2501 0.7501 0.5001
In1 In 0.0003 0.0003 0.0005
S1 S 0.5720 0.5720 0.6945
S2 S 0.4283 0.8775 0.3058
S3 S 0.8775 0.4283 0.3058
S4 S 0.1225 0.1225 0.6945
```